# Pm4IrPt2 PBE-GGA optimized geometry
# ΔE_f: -898 meV/atom
# offset from the most stable computed form: 0.000 eV/atom
# space-group type: I-42d
# total magnetization: 0.0 μB per formula unit
# N(E_F): 0.65 states/eV/atom
# E: -92.5 eV per cell
data_Pm4IrPt2
_space_group_name_H-M_alt 'P 1'
_space_group_IT_number 1
_space_group_name_Hall 'P 1'
_cell_length_a 7.7240
_cell_length_b 7.7240
_cell_length_c 7.7240
_cell_angle_alpha 109.70
_cell_angle_beta 109.70
_cell_angle_gamma 109.02
loop_
_atom_site_label
_atom_site_fract_x
_atom_site_fract_y
_atom_site_fract_z
Pm1 0.9998 0.3684 0.2488
Pm2 0.1184 0.2498 0.7488
Pm3 0.1195 0.7510 0.7512
Pm4 0.2490 0.0002 0.3686
Pm5 0.5010 0.3695 0.2512
Pm6 0.6305 0.8816 0.1314
Pm7 0.6316 0.8805 0.6314
Pm8 0.7502 0.4990 0.8686
Ir1 0.0000 0.0000 0.0000
Ir2 0.7500 0.2500 0.5000
Pt1 0.2530 0.6250 0.1280
Pt2 0.3750 0.5030 0.6280
Pt3 0.4970 0.1250 0.8720
Pt4 0.8750 0.7470 0.3720